DFT (PBE) results for crystalline EuMgScGa at its relaxed geometry. Values from VASP.

Geometry as Quantum ESPRESSO input:
```
&SYSTEM
  ibrav = 0, nat = 4, ntyp = 4
/
ATOMIC_SPECIES
Ga 69.72 Ga.upf
Mg 24.30 Mg.upf
Sc 44.96 Sc.upf
Eu 151.96 Eu.upf
CELL_PARAMETERS angstrom
-3.970 3.269 -0.165
-2.659 0.599 -4.363
-4.805 -1.804 -0.352
ATOMIC_POSITIONS crystal
Ga 0.250 0.250 0.250
Mg 0.750 0.750 0.750
Sc 0.500 0.500 0.500
Eu 0.000 0.000 0.000
```

## Properties
- formation energy from the elements (meV per atom) = -246
- space group = F-43m (216)
- uncorrected energy (eV per atom) = -5.55